# 1
The following is a PBE calculation of an optimized crystal structure of LaCuBr, from the Alexandria database.

Unit cell a=5.808 b=5.808 c=5.808 alpha=141.50 beta=141.50 gamma=55.58
Positions (direct):
La  0.000  0.000  0.000
Cu  0.642  0.642  0.000
Br  0.322  0.322  0.000

Values from the calculation:
N(E_F) ... 2.87 states/eV/cell
ρ ... 6.22 g cm⁻³
Energy relative to the elements, uncorrected ... -550.1 meV/atom


# 2
The following is a PBE calculation of an optimized crystal structure of LiAcReN3, from the Alexandria database.

Unit cell a=6.382 b=6.382 c=8.244 alpha=90.00 beta=90.00 gamma=148.51
Positions (direct):
Li  0.000  0.000  0.000
Li  0.000  0.000  0.500
Ac  0.300  0.700  0.750
Ac  0.700  0.300  0.250
Re  0.441  0.559  0.250
Re  0.559  0.441  0.750
N  0.034  0.966  0.250
N  0.360  0.640  0.066
N  0.360  0.640  0.434
N  0.640  0.360  0.566
N  0.640  0.360  0.934
N  0.966  0.034  0.750

Values from the calculation:
N(E_F) ... 0.82 states/eV/cell
ρ ... 8.75 g cm⁻³
Energy relative to the elements, uncorrected ... -525.6 meV/atom


# 3
The following is a PBE calculation of an optimized crystal structure of Fe5Re2NiB2, from the Alexandria database.

Unit cell a=8.677 b=8.677 c=2.770 alpha=90.00 beta=90.00 gamma=90.00
Positions (direct):
Fe  0.000  0.500  0.000
Fe  0.063  0.217  0.000
Fe  0.217  0.937  0.000
Fe  0.283  0.437  0.000
Fe  0.437  0.717  0.000
Fe  0.500  0.000  0.000
Fe  0.563  0.283  0.000
Fe  0.717  0.563  0.000
Fe  0.783  0.063  0.000
Fe  0.937  0.783  0.000
Re  0.180  0.680  0.500
Re  0.320  0.180  0.500
Re  0.680  0.820  0.500
Re  0.820  0.320  0.500
Ni  0.000  0.000  0.500
Ni  0.500  0.500  0.500
B  0.125  0.375  0.500
B  0.375  0.875  0.500
B  0.625  0.125  0.500
B  0.875  0.625  0.500

Values from the calculation:
N(E_F) ... 22.79 states/eV/cell
DFT formation energy ... -0.085 eV per atom
ρ ... 11.66 g cm⁻³


# 4
The following is a PBE calculation of an optimized crystal structure of RbTmBi2, from the Alexandria database.

Unit cell a=8.577 b=8.577 c=8.577 alpha=32.70 beta=32.70 gamma=32.70
Positions (direct):
Rb  0.000  0.000  0.000
Tm  0.500  0.500  0.500
Bi  0.225  0.225  0.225
Bi  0.775  0.775  0.775

Values from the calculation:
N(E_F) ... 3.03 states/eV/cell
DFT formation energy ... -0.344 eV per atom
ρ ... 6.81 g cm⁻³
Offset from the most stable computed form ... 124 meV/atom


# 5
The following is a PBE calculation of an optimized crystal structure of Zr4CrSe, from the Alexandria database.

Unit cell a=5.751 b=5.751 c=5.751 alpha=60.00 beta=60.00 gamma=60.00
Positions (direct):
Zr  0.123  0.123  0.123
Zr  0.123  0.123  0.631
Zr  0.123  0.631  0.123
Zr  0.631  0.123  0.123
Cr  0.750  0.750  0.750
Se  0.500  0.500  0.500

Values from the calculation:
N(E_F) ... 8.11 states/eV/cell
ρ ... 6.12 g cm⁻³
Energy relative to the elements, uncorrected ... 529.6 meV/atom


# 6
The following is a PBE calculation of an optimized crystal structure of OsRu2S, from the Alexandria database.

Unit cell a=5.244 b=5.244 c=4.351 alpha=113.99 beta=113.99 gamma=31.41
Positions (direct):
Os  0.000  0.000  0.000
Ru  0.422  0.422  0.430
Ru  0.712  0.712  0.901
S  0.209  0.209  0.485

Values from the calculation:
N(E_F) ... 2.86 states/eV/cell
ρ ... 12.47 g cm⁻³
Energy relative to the elements, uncorrected ... 141.4 meV/atom


# 7
The following is a PBE calculation of an optimized crystal structure of Li7InCu2, from the Alexandria database.

Unit cell a=7.147 b=7.147 c=4.684 alpha=90.00 beta=90.00 gamma=117.69
Positions (direct):
Li  0.000  0.000  0.000
Li  0.200  0.442  0.000
Li  0.250  0.750  0.500
Li  0.442  0.200  0.000
Li  0.558  0.800  0.000
Li  0.750  0.250  0.500
Li  0.800  0.558  0.000
In  0.500  0.500  0.500
Cu  0.201  0.799  0.000
Cu  0.799  0.201  0.000

Values from the calculation:
N(E_F) ... 4.23 states/eV/cell
DFT formation energy ... 0.144 eV per atom
ρ ... 2.28 g cm⁻³


# 8
The following is a PBE calculation of an optimized crystal structure of Na3Tb3RhO8, from the Alexandria database.

Unit cell a=6.778 b=6.778 c=6.778 alpha=59.48 beta=59.48 gamma=59.48
Positions (direct):
Na  0.000  0.500  0.500
Na  0.500  0.000  0.500
Na  0.500  0.500  0.000
Tb  0.000  0.000  0.500
Tb  0.000  0.500  0.000
Tb  0.500  0.000  0.000
Rh  0.500  0.500  0.500
O  0.237  0.237  0.237
O  0.263  0.719  0.719
O  0.281  0.281  0.737
O  0.281  0.737  0.281
O  0.719  0.263  0.719
O  0.719  0.719  0.263
O  0.737  0.281  0.281
O  0.763  0.763  0.763

Values from the calculation:
N(E_F) ... 7.34 states/eV/cell
ρ ... 5.93 g cm⁻³
Energy relative to the elements, uncorrected ... -2344.1 meV/atom


The calculation returns the following spin magnetization values, one per record and in order: 0.086; 0.000; 0.562; 0.000; 0.601; 0.000; 0.000; 0.070 μB per atom.